No. 1
A plane-wave DFT calculation with PBE was carried out for a geometry-optimized LiNdGdNi structure.

Values from the calculation:
Fermi-level density of states, states/eV/cell: 3.6
Calculated formation energy, meV/atom: -74
Size of the total moment, Bohr magnetons per cell: 7.12

Cell lengths 5.0322, 5.0322, 5.0322 Å; angles 60.00, 60.00, 60.00 degrees
Last column: nearest neighbours and their distance in Å.
Positions (direct):
Gd: 0.5000 0.5000 0.5000  4 Ni 3.08, 4 Li 3.08
Li: 0.2500 0.2500 0.2500  4 Gd 3.08, 4 Nd 3.08
Nd: 0.0000 0.0000 0.0000  4 Li 3.08, 4 Ni 3.08
Ni: 0.7500 0.7500 0.7500  4 Gd 3.08, 4 Nd 3.08


No. 2
A plane-wave DFT calculation with PBE was carried out for a geometry-optimized Ti8CoMo2 structure.

Values from the calculation:
Fermi-level density of states, states/eV/cell: 12.8
Calculated formation energy, meV/atom: -95
Size of the total moment, Bohr magnetons per cell: 0.00

Cell lengths 4.5644, 5.1702, 9.2102 Å; angles 122.41, 104.35, 90.00 degrees
Last column: nearest neighbours and their distance in Å.
Positions (direct):
Mo: 0.7704 0.1892 0.5409  4 Ti 2.51-2.81
Mo: 0.2296 0.8108 0.4591  4 Ti 2.51-2.81
Ti: 0.9545 0.6472 0.9090  2 Co 2.75, 7 Ti 2.77-3.06, 1 Mo 2.79
Ti: 0.6758 0.4272 0.3516  3 Mo 2.58-2.82, 1 Co 2.66, 3 Ti 2.81-2.83
Ti: 0.1425 0.0601 0.2850  1 Mo 2.51, 3 Ti 2.66-2.81
Ti: 0.3242 0.5728 0.6484  3 Mo 2.58-2.82, 1 Co 2.66, 3 Ti 2.81-2.83
Ti: 0.5840 0.7450 0.1680  1 Co 2.48, 3 Ti 2.65-2.66
Ti: 0.8575 0.9399 0.7150  1 Mo 2.51, 3 Ti 2.66-2.81
Ti: 0.4160 0.2550 0.8320  1 Co 2.48, 3 Ti 2.65-2.66
Ti: 0.0455 0.3528 0.0910  2 Co 2.75, 7 Ti 2.77-3.06, 1 Mo 2.79
Co: 0.5000 0.0000 0.0000  8 Ti 2.48-2.75


What did the first record say?
A plane-wave DFT calculation with PBE was carried out for a geometry-optimized LiNdGdNi structure.

Values from the calculation:
Fermi-level density of states, states/eV/cell: 3.6
Calculated formation energy, meV/atom: -74
Size of the total moment, Bohr magnetons per cell: 7.12

Cell lengths 5.0322, 5.0322, 5.0322 Å; angles 60.00, 60.00, 60.00 degrees
Last column: nearest neighbours and their distance in Å.
Positions (direct):
Gd: 0.5000 0.5000 0.5000  4 Ni 3.08, 4 Li 3.08
Li: 0.2500 0.2500 0.2500  4 Gd 3.08, 4 Nd 3.08
Nd: 0.0000 0.0000 0.0000  4 Li 3.08, 4 Ni 3.08
Ni: 0.7500 0.7500 0.7500  4 Gd 3.08, 4 Nd 3.08